# GGA-PBE K2SrBr, relaxed
# Size of the total moment: 0.0 μB/f.u.
# Energy: -0.154 Ry per atom
# Formation energy without anion corrections: -0.70 eV per atom
data_K2SrBr
_symmetry_space_group_name_H-M 'C m m 2'
_symmetry_Int_Tables_number 35
_cell_length_a 4.580
_cell_length_b 7.418
_cell_length_c 12.219
_cell_angle_alpha 90.00
_cell_angle_beta 90.00
_cell_angle_gamma 90.00
loop_
_symmetry_equiv_pos_as_xyz
'x,y,z'
'-x,-y,z'
'-x,y,z'
'x,-y,z'
'x+1/2,y+1/2,z'
'-x+1/2,-y+1/2,z'
'-x+1/2,y+1/2,z'
'x+1/2,-y+1/2,z'
loop_
_atom_site_label
_atom_site_type_symbol
_atom_site_fract_x
_atom_site_fract_y
_atom_site_fract_z
_atom_site_occupancy
K1 K 0.000 0.000 0.000 1
K2 K 0.000 0.500 0.318 1
Sr1 Sr 0.000 0.500 0.701 1
Br1 Br 0.000 0.000 0.518 1